# 1
Here is crystalline Ca2TbBi at its relaxed geometry from Alexandria via LeMat-Bulk. Energies are from GGA-PBE.

abc: 3.6682 3.6682 12.6101
angles: 81.64 81.64 60.00
Sites, in units of the cell vectors:
Ca 0.0861 0.0861 0.7416
Ca 0.9139 0.9139 0.2584
Tb 0.5000 0.5000 0.5000
Bi 0.0000 0.0000 0.0000


# 2
Here is crystalline CaTb2Bi at its relaxed geometry from Alexandria via LeMat-Bulk. Energies are from GGA-PBE.

abc: 5.1499 4.8466 4.8466
angles: 90.00 90.00 90.00
Sites, in units of the cell vectors:
Ca 0.5000 0.5000 0.5000
Tb 0.0000 0.5000 0.0000
Tb 0.0000 0.0000 0.5000
Bi 0.5000 0.0000 0.0000


# 3
Here is crystalline Ca5TbBi5 at its relaxed geometry from Alexandria via LeMat-Bulk. Energies are from GGA-PBE.

abc: 6.3964 8.1966 8.9929
angles: 106.37 90.00 112.97
Sites, in units of the cell vectors:
Tb 0.0000 0.0000 0.0000
Bi 0.8385 0.6770 0.6690
Bi 0.1517 0.3034 0.8253
Bi 0.8483 0.6966 0.1747
Bi 0.1615 0.3230 0.3310
Bi 0.5000 0.0000 0.0000
Ca 0.6827 0.3654 0.3223
Ca 0.0000 0.0000 0.5000
Ca 0.6793 0.3587 0.8562
Ca 0.3173 0.6346 0.6777
Ca 0.3207 0.6413 0.1438


| no. | DOS(E_F) (states/eV/atom) | final energy (eV per atom) |
| --- | --- | --- |
| 1 | 1.017 | -3.116 |
| 2 | 1.286 | -4.090 |
| 3 | 0.774 | -3.768 |